Material: AcLa5Te8
Method: DFT, PBE-GGA
State: relaxed

Results
The space-group type is No. 82. The calculated volume is 461.3 Å³/cell. As for the formation energy without anion corrections: -1.600 eV per atom.

```
data_AcLa5Te8
_symmetry_space_group_name_H-M 'P 1'
_symmetry_Int_Tables_number 1
_symmetry_space_group_name_Hall 'P 1'
_cell_length_a 8.4308
_cell_length_b 8.4308
_cell_length_c 8.4308
_cell_angle_alpha 109.42
_cell_angle_beta 109.58
_cell_angle_gamma 109.42
loop_
_atom_site_label
_atom_site_type_symbol
_atom_site_fract_x
_atom_site_fract_y
_atom_site_fract_z
_atom_site_occupancy
Ac1 Ac 0.2500 0.5000 0.7500 1
La1 La 0.0012 0.3758 0.1253 1
La2 La 0.8747 0.8759 0.2505 1
La3 La 0.7495 0.6242 0.6254 1
La4 La 0.5000 0.0000 0.5000 1
La5 La 0.3746 0.1241 0.9988 1
Te1 Te 0.1228 0.7528 0.0302 1
Te2 Te 0.9698 0.0927 0.7226 1
Te3 Te 0.7731 0.2486 0.3726 1
Te4 Te 0.6274 0.4004 0.8760 1
Te5 Te 0.4756 0.5996 0.2269 1
Te6 Te 0.6300 0.9073 0.8772 1
Te7 Te 0.2774 0.2472 0.3700 1
Te8 Te 0.1240 0.7514 0.5244 1
```